(1)
Material: La2Pr2CBr3Cl2
Method: DFT, PBE-GGA
State: relaxed

Computed properties:
ΔE to the lowest computed polymorph: 0.00 eV/f.u.
V: 302 Å³ per cell

abc: 9.515 9.515 8.440
angles: 105.58 105.58 24.30
Last column: magnetic moment on the atom in μB.
Fractional coordinates of all 10 atoms:
Br: 0.831 0.831 0.166  0.00
Cl: 0.840 0.840 0.655  0.00
Pr: 0.000 0.000 0.208  0.01
Br: 0.169 0.169 0.834  0.00
Br: 0.500 0.500 0.500  0.00
C: 0.500 0.500 0.000  0.00
La: 0.644 0.644 0.091  0.07
Cl: 0.160 0.160 0.345  0.00
La: 0.356 0.356 0.909  0.07
Pr: 0.000 0.000 0.792  0.01

(2)
Material: La2Sm2C2BrCl4
Method: DFT, PBE-GGA
State: relaxed

Computed properties:
V: 300 Å³ per cell

abc: 9.640 9.640 8.310
angles: 104.36 104.36 23.66
Fractional coordinates of all 11 atoms:
Sm: 0.340 0.340 0.395
Cl: 0.164 0.164 0.843
Cl: 0.828 0.828 0.635
Br: 0.500 0.500 0.000
C: 0.538 0.538 0.525
La: 0.001 0.001 0.297
La: 0.999 0.999 0.703
Cl: 0.836 0.836 0.157
C: 0.462 0.462 0.475
Sm: 0.660 0.660 0.605
Cl: 0.172 0.172 0.365

(3)
Material: La2Sm2CBr2Cl3
Method: DFT, PBE-GGA
State: relaxed

Computed properties:
ΔE to the lowest computed polymorph: 0.03 eV/f.u.
V: 291 Å³ per cell

abc: 9.367 9.367 8.283
angles: 103.95 103.95 24.37
Fractional coordinates of all 10 atoms:
Cl: 0.500 0.500 0.500
Br: 0.173 0.173 0.839
Sm: 0.640 0.640 0.080
Sm: 0.360 0.360 0.920
C: 0.500 0.500 0.000
Cl: 0.165 0.165 0.327
Cl: 0.835 0.835 0.673
La: 0.999 0.999 0.783
La: 0.001 0.001 0.217
Br: 0.827 0.827 0.161

E_tot for the records above, in order: -0.3893, -0.4309, -0.3933 Ry per atom